[1]
The following is a GGA-PBE calculation of a geometry-optimized SrSmRh structure, from Alexandria.

Results
crystal system = cubic
calculated formation energy = -295 meV per atom

Cell: 7.090 7.090 7.090 Å, 90.00 90.00 90.00°
Space group F-43m (No. 216)
One atom of each set of equivalent atoms:
Sr 0.000 0.000 0.000 (multiplicity 4)
Sm 0.000 0.000 0.500 (multiplicity 4)
Rh 0.250 0.250 0.750 (multiplicity 4)

---

[2]
The following is a GGA-PBE calculation of a geometry-optimized Ta2BeFeN structure, from Alexandria.

Results
crystal system = tetragonal
ΔE_f (raw) = 0.88 eV/atom

Cell: 4.758 4.758 3.336 Å, 90.00 90.00 90.00°
Space group P4/mmm (No. 123)
One atom of each set of equivalent atoms:
Ta 0.000 0.500 0.000 (multiplicity 2)
Be 0.000 0.000 0.500 (multiplicity 1)
Fe 0.500 0.500 0.000 (multiplicity 1)
N 0.500 0.500 0.500 (multiplicity 1)

---

[3]
The following is a GGA-PBE calculation of a geometry-optimized SnS structure, from Alexandria.

Results
crystal system = hexagonal
ΔE_f (raw) = -0.32 eV/atom

Cell: 11.7757 11.7757 3.8276 Å, 90.00 90.00 120.00°
Space group P6_3/m (No. 176)
One atom of each set of equivalent atoms:
Sn 0.0270 0.6507 0.2500 (multiplicity 6)
S 0.1306 0.4984 0.2500 (multiplicity 6)

---

[4]
The following is a GGA-PBE calculation of a geometry-optimized KVHg structure, from Alexandria.

Results
crystal system = hexagonal
calculated formation energy = 717 meV per atom

Cell: 4.7669 4.7669 10.2215 Å, 90.00 90.00 120.00°
Space group P6_3/mmc (No. 194)
One atom of each set of equivalent atoms:
K 0.0000 0.0000 0.0000 (multiplicity 2)
V 0.3333 0.6667 0.2500 (multiplicity 2)
Hg 0.3333 0.6667 0.7500 (multiplicity 2)

---

[5]
The following is a GGA-PBE calculation of a geometry-optimized RbNa3Ru structure, from Alexandria.

Results
crystal system = cubic
calculated formation energy = 783 meV per atom

Cell: 5.742 5.742 5.742 Å, 90.00 90.00 90.00°
Space group Pm-3m (No. 221)
One atom of each set of equivalent atoms:
Rb 0.000 0.000 0.000 (multiplicity 1)
Na 0.000 0.500 0.500 (multiplicity 3)
Ru 0.500 0.500 0.500 (multiplicity 1)

---

[6]
The following is a GGA-PBE calculation of a geometry-optimized CaTe2 structure, from Alexandria.

Results
crystal system = monoclinic
ΔE_f (raw) = -0.95 eV/atom

Cell: 11.526 4.345 9.623 Å, 90.00 116.54 90.00°
Space group C2/m (No. 12)
One atom of each set of equivalent atoms:
Ca 0.082 0.000 0.234 (multiplicity 4)
Te 0.121 0.500 0.493 (multiplicity 4)
Te 0.130 0.500 0.010 (multiplicity 4)

---

[7]
The following is a GGA-PBE calculation of a geometry-optimized Na2Zn2Sb structure, from Alexandria.

Results
crystal system = tetragonal
ΔE_f (raw) = -0.14 eV/atom

Cell: 7.047 7.047 4.885 Å, 90.00 90.00 90.00°
Space group P4/mbm (No. 127)
One atom of each set of equivalent atoms:
Na 0.179 0.321 0.000 (multiplicity 4)
Zn 0.122 0.622 0.500 (multiplicity 4)
Sb 0.000 0.000 0.500 (multiplicity 2)

---

[8]
The following is a GGA-PBE calculation of a geometry-optimized MgCrTeI2 structure, from Alexandria.

Results
crystal system = tetragonal
ΔE_f (raw) = 0.03 eV/atom

Cell: 5.417 5.417 5.599 Å, 90.00 90.00 90.00°
Space group P4/mmm (No. 123)
One atom of each set of equivalent atoms:
Mg 0.000 0.000 0.000 (multiplicity 1)
Cr 0.500 0.500 0.500 (multiplicity 1)
Te 0.500 0.500 0.000 (multiplicity 1)
I 0.000 0.500 0.500 (multiplicity 2)

---

The following E_tot values (in eV per atom) correspond, in order, to the records above: -4.879 -7.963 -4.387 -2.789 -2.057 -3.715 -1.998 -3.463.